Entry 1:
A relaxed Mn2SbPb crystal. Source: the Alexandria database, functional PBE-GGA.

Calculated values
Formation energy from raw total energies = 0.38 eV per atom
Space-group type = Pmmm, No. 47
E above lowest polymorph = 0.1303 eV/atom
Energy = -6.1615 eV per atom

Cell: 3.8894 4.1958 5.1079 Å, 90.00 90.00 90.00°
With the nearest neighbours (Å) after each atom.
Sites, in units of the cell vectors:
Mn1 0.0000 0.0000 0.0000  4 Pb 2.86
Mn2 0.0000 0.5000 0.5000  4 Sb 2.86
Sb1 0.5000 0.0000 0.5000  4 Mn 2.86
Pb1 0.5000 0.5000 0.0000  4 Mn 2.86

Entry 2:
A relaxed Mn2SbPb crystal. Source: the Alexandria database, functional PBE-GGA.

Calculated values
Formation energy from raw total energies = 0.37 eV per atom
Space-group type = Cmmm, No. 65
E above lowest polymorph = 0.1228 eV/atom
Energy = -6.1690 eV per atom

Cell: 3.3106 3.3106 7.6757 Å, 90.00 90.00 99.62°
With the nearest neighbours (Å) after each atom.
Sites, in units of the cell vectors:
Mn1 0.0000 0.0000 0.2281  4 Sb 2.76-3.08, 2 Pb 2.99
Mn2 0.0000 0.0000 0.7719  4 Sb 2.76-3.08, 2 Pb 2.99
Sb1 0.5000 0.5000 0.0000  8 Mn 2.76-3.08
Pb1 0.5000 0.5000 0.5000  8 Mn 2.99-3.28, 4 Pb 3.31

> Which formula does entry 2 have?

Mn2SbPb

> Look up the formation energy from raw total energies of the first one.

0.38 eV per atom

> Which of these has the lowest E above lowest polymorph?

number 2

> Which of these has the lowest energy?

number 2